(1)
Compound: BaMoPt2
Source: the Alexandria database
Functional: GGA-PBE
Structure: relaxed

Calculated values
DFT formation energy, eV per atom: 0.0527
DOS(E_F), states/eV/f.u.: 2.93
Mass density, kg/m³: 9706

Cell: 4.314 4.599 5.493 Å, 90.00 101.84 90.00°
Atoms (fractional coordinates):
Ba (0.000, 0.000, 0.000)
Mo (0.772, 0.500, 0.458)
Pt (0.320, 0.500, 0.684)
Pt (0.534, 0.000, 0.478)

=====

(2)
Compound: Ba2TcF2
Source: the Alexandria database
Functional: GGA-PBE
Structure: relaxed

Calculated values
E_form (uncorrected), kJ/mol of formula units: -664
DOS(E_F), states/eV/f.u.: 5.53
Mass density, kg/m³: 5355

Cell: 5.672 5.672 5.672 Å, 120.84 120.84 88.56°
Atoms (fractional coordinates):
Ba (0.250, 0.750, 0.500)
Ba (0.750, 0.250, 0.500)
Tc (0.000, 0.000, 0.000)
F (0.259, 0.259, 0.000)
F (0.741, 0.741, 0.000)

=====

(3)
Compound: LiErLuMn
Source: the Alexandria database
Functional: GGA-PBE
Structure: relaxed

Calculated values
DFT formation energy, eV per atom: 0.1020
DOS(E_F), states/eV/f.u.: 3.62
Mass density, kg/m³: 7908

Cell: 4.932 4.932 4.932 Å, 60.00 60.00 60.00°
Atoms (fractional coordinates):
Li (0.000, 0.000, 0.000)
Er (0.750, 0.750, 0.750)
Lu (0.250, 0.250, 0.250)
Mn (0.500, 0.500, 0.500)

=====

(4)
Compound: YZr2W
Source: the Alexandria database
Functional: GGA-PBE
Structure: relaxed

Calculated values
DFT formation energy, eV per atom: 0.4037
DOS(E_F), states/eV/f.u.: 6.17
Mass density, kg/m³: 8569

Cell: 3.977 4.575 4.848 Å, 90.00 90.00 90.00°
Atoms (fractional coordinates):
Y (0.000, 0.000, 0.000)
Zr (0.500, 0.000, 0.500)
Zr (0.500, 0.500, 0.000)
W (0.000, 0.500, 0.500)

=====

(5)
Compound: Te2AsPbI
Source: the Alexandria database
Functional: GGA-PBE
Structure: relaxed

Calculated values
E_form (uncorrected), kJ/mol of formula units: 80
DOS(E_F), states/eV/f.u.: 3.38
Mass density, kg/m³: 6435

Cell: 5.563 5.563 5.538 Å, 90.00 90.00 90.00°
Atoms (fractional coordinates):
Te (0.000, 0.500, 0.000)
Te (0.500, 0.000, 0.000)
As (0.000, 0.000, 0.000)
Pb (0.500, 0.500, 0.500)
I (0.000, 0.000, 0.500)

=====

(6)
Compound: Na8PbAu2
Source: the Alexandria database
Functional: GGA-PBE
Structure: relaxed

Calculated values
DFT formation energy, eV per atom: -0.1750
DOS(E_F), states/eV/f.u.: 4.27
Mass density, kg/m³: 4013

Cell: 8.041 8.041 5.623 Å, 98.53 98.53 112.06°
Atoms (fractional coordinates):
Na (0.063, 0.312, 0.581)
Na (0.242, 0.758, 0.000)
Na (0.312, 0.063, 0.581)
Na (0.373, 0.373, 0.183)
Na (0.627, 0.627, 0.817)
Na (0.688, 0.937, 0.419)
Na (0.758, 0.242, 0.000)
Na (0.937, 0.688, 0.419)
Pb (0.000, 0.000, 0.000)
Au (0.320, 0.680, 0.500)
Au (0.680, 0.320, 0.500)

=====

(7)
Compound: HfZn3Hg
Source: the Alexandria database
Functional: GGA-PBE
Structure: relaxed

Calculated values
DFT formation energy, eV per atom: 0.9089
DOS(E_F), states/eV/f.u.: 6.10
Mass density, kg/m³: 6243

Cell: 5.349 5.349 5.349 Å, 90.00 90.00 90.00°
Atoms (fractional coordinates):
Hf (0.000, 0.000, 0.000)
Zn (0.000, 0.000, 0.500)
Zn (0.000, 0.500, 0.000)
Zn (0.500, 0.000, 0.000)
Hg (0.500, 0.500, 0.500)